1.
A relaxed Tb6Nd3Y2Ho crystal. Source: the Alexandria database, functional PBE.

Unit cell a=6.224 b=10.776 c=11.894 alpha=90.00 beta=100.01 gamma=90.00
Space group C2/m (No. 12)
One atom of each set of equivalent atoms:
Tb 0.249 0.166 0.247
Tb 0.250 0.000 0.753
Nd 0.000 0.167 0.500
Nd 0.000 0.500 0.500
Y 0.000 0.333 0.000
Ho 0.000 0.000 0.000

2.
A relaxed TbNd6Y2Ho3 crystal. Source: the Alexandria database, functional PBE.

Unit cell a=6.280 b=10.877 c=11.865 alpha=90.00 beta=100.12 gamma=90.00
Space group C2/m (No. 12)
One atom of each set of equivalent atoms:
Tb 0.000 0.000 0.000
Nd 0.249 0.000 0.749
Nd 0.250 0.166 0.251
Y 0.000 0.333 0.000
Ho 0.000 0.167 0.500
Ho 0.000 0.500 0.500

no.,magnetization (μB/f.u.),energy (eV per atom),DFT formation energy (eV per atom)
1,0.00,-4.9490,0.02
2,0.00,-4.9811,0.01